Computed, not measured: crystalline CdP2 at its relaxed geometry at the PBEsol level of DFT.

```
24
Lattice="5.267 0.000 0.000 0.000 5.267 0.000 0.000 0.000 19.710" Properties=species:S:1:pos:R:3 pbc="T T T"
Cd 4.463 3.293 15.731
Cd 1.974 0.804 13.834
P 4.138 1.624 1.276
P 1.010 1.505 16.058
Cd 3.293 4.463 3.979
P 3.643 1.129 8.579
P 2.740 2.748 7.377
P 2.527 2.519 17.231
Cd 4.607 1.829 10.803
P 1.129 3.643 11.130
P 0.106 5.152 17.261
P 3.762 4.257 13.507
P 4.257 3.762 6.203
Cd 1.829 4.607 8.907
Cd 0.804 1.974 5.876
P 2.748 2.740 12.333
P 1.505 1.010 3.652
P 0.115 5.161 12.304
Cd 3.438 0.660 18.762
Cd 0.660 3.438 0.948
P 2.519 2.527 2.478
P 5.161 0.115 7.406
P 5.152 0.106 2.449
P 1.624 4.138 18.434
```

Properties
- symmetry = P4_32_12
- DFT formation energy (eV per formula unit) = -0.29
- total energy (Ry per atom) = -0.3201